1.
Computed, not measured: an optimized crystal structure of ZrOs3 at the GGA-PBE level of DFT.

Unit cell a=2.878 b=4.572 c=9.928 alpha=90.00 beta=90.00 gamma=90.00
Space group Immm (No. 71)
Unique sites:
Zr 0.000 0.000 0.000
Os 0.000 0.000 0.500
Os 0.000 0.500 0.222

2.
Computed, not measured: an optimized crystal structure of ZrOs2 at the GGA-PBE level of DFT.

Unit cell a=10.694 b=2.849 c=6.783 alpha=90.00 beta=104.30 gamma=90.00
Space group C2/m (No. 12)
Unique sites:
Zr 0.019 0.000 0.283
Os 0.155 0.500 0.029
Os 0.213 0.500 0.644

3.
Computed, not measured: an optimized crystal structure of Zr2Os at the GGA-PBE level of DFT.

Unit cell a=7.751 b=7.751 c=7.751 alpha=90.00 beta=90.00 gamma=90.00
Space group Fd-3m (No. 227, origin choice 2)
Unique sites:
Zr 0.000 0.000 0.000
Os 0.125 0.125 0.625

Number 1: ΔH_f (0 K) 0.17 eV per atom, theoretical density 16.8 Mg/m³. Number 2: ΔH_f (0 K) -0.09 eV per atom, theoretical density 15.6 Mg/m³. Number 3: ΔH_f (0 K) 0.73 eV per atom, theoretical density 10.6 Mg/m³.